## BeAl2Ni (GGA-PBEsol)

Data for a geometry-optimized BeAl2Ni structure.

Cell: 2.7933 3.7988 4.7447 Å, 90.00 107.12 90.00°
Closest atoms and distances in Å follow each position.
Sites, in units of the cell vectors:
1 Ni 0.6840 0.5000 0.3681  2 Be 2.25, 7 Al 2.48-2.51
2 Al 0.0899 0.0000 0.1799  3 Be 2.48, 4 Ni 2.51
3 Al 0.4096 0.5000 0.8193  3 Ni 2.48-2.49, 4 Be 2.50
4 Be 0.8165 0.0000 0.6330  2 Ni 2.25, 7 Al 2.48-2.50

Values from the calculation:
* formation enthalpy at 0 K: -0.29 eV/atom
* E: -4.8714 eV/atom

## La2MgAu (GGA-PBEsol)

Data for a geometry-optimized La2MgAu structure.

Cell: 3.9623 5.2324 5.2324 Å, 90.00 90.00 90.00°
Closest atoms and distances in Å follow each position.
Sites, in units of the cell vectors:
1 Au 0.5000 0.5000 0.5000  8 La 3.28
2 La 0.0000 0.0000 0.5000  4 Mg 3.28, 4 Au 3.28
3 La 0.0000 0.5000 0.0000  4 Mg 3.28, 4 Au 3.28
4 Mg 0.5000 0.0000 0.0000  8 La 3.28

Values from the calculation:
* formation enthalpy at 0 K: -0.36 eV/atom
* E: -4.4455 eV/atom

## Hg2OsPb (GGA-PBEsol)

Data for a geometry-optimized Hg2OsPb structure.

Cell: 4.8514 4.8514 4.8514 Å, 60.00 60.00 60.00°
Closest atoms and distances in Å follow each position.
Sites, in units of the cell vectors:
1 Hg 0.0000 0.0000 0.0000  4 Hg 2.97, 4 Pb 2.97
2 Hg 0.7500 0.7500 0.7500  4 Os 2.97, 4 Hg 2.97
3 Os 0.5000 0.5000 0.5000  4 Hg 2.97, 4 Pb 2.97
4 Pb 0.2500 0.2500 0.2500  4 Hg 2.97, 4 Os 2.97

Values from the calculation:
* formation enthalpy at 0 K: 0.89 eV/atom
* E: -3.4434 eV/atom

## La2BeAg (GGA-PBEsol)

Data for a geometry-optimized La2BeAg structure.

Cell: 4.3510 4.3510 5.8089 Å, 111.99 111.99 90.00°
Closest atoms and distances in Å follow each position.
Sites, in units of the cell vectors:
1 Be 0.2500 0.7500 0.5000  8 La 3.08-3.29, 4 Ag 3.29
2 Ag 0.5000 0.5000 0.0000  8 La 3.08-3.29, 4 Be 3.29
3 La 0.0000 0.0000 0.0000  4 Ag 3.08, 4 Be 3.29, 4 La 3.29
4 La 0.7500 0.2500 0.5000  4 Be 3.08, 4 La 3.29, 4 Ag 3.29

Values from the calculation:
* formation enthalpy at 0 K: 0.14 eV/atom
* E: -4.3588 eV/atom

## MnZn3Fe (GGA-PBEsol)

Data for a geometry-optimized MnZn3Fe structure.

Cell: 4.4754 4.4754 4.4754 Å, 90.00 90.00 90.00°
Closest atoms and distances in Å follow each position.
Sites, in units of the cell vectors:
1 Zn 0.0000 0.5000 0.0000  2 Mn 2.24
2 Zn 0.0000 0.0000 0.5000  2 Mn 2.24
3 Zn 0.5000 0.0000 0.0000  2 Mn 2.24
4 Mn 0.0000 0.0000 0.0000  6 Zn 2.24
5 Fe 0.5000 0.5000 0.5000  12 Zn 3.16

Values from the calculation:
* formation enthalpy at 0 K: 1.17 eV/atom
* E: -3.5253 eV/atom

## TlPb (GGA-PBEsol)

Data for a geometry-optimized TlPb structure.

Cell: 3.4594 3.4594 5.9208 Å, 73.01 73.01 60.00°
Closest atoms and distances in Å follow each position.
Sites, in units of the cell vectors:
1 Pb 0.0000 0.0000 0.0000  6 Tl 3.43, 6 Pb 3.46
2 Tl 0.5000 0.5000 0.5000  6 Pb 3.43, 6 Tl 3.46

Values from the calculation:
* formation enthalpy at 0 K: 0.00 eV/atom
* E: -3.3188 eV/atom

## Co2SiIr (GGA-PBEsol)

Data for a geometry-optimized Co2SiIr structure.

Cell: 2.6053 4.3070 4.3070 Å, 109.26 90.00 90.00°
Closest atoms and distances in Å follow each position.
Sites, in units of the cell vectors:
1 Co 0.0000 0.5000 0.0000  4 Co 2.49-2.61, 4 Si 2.52, 4 Ir 2.52
2 Co 0.0000 0.0000 0.5000  4 Co 2.49-2.61, 4 Ir 2.52, 4 Si 2.52
3 Ir 0.5000 0.0000 0.0000  2 Si 2.49, 8 Co 2.52, 2 Ir 2.61
4 Si 0.5000 0.5000 0.5000  2 Ir 2.49, 8 Co 2.52, 2 Si 2.61

Values from the calculation:
* E: -8.0478 eV/atom
* formation energy (no corrections): -0.287 eV per atom

## BeCo2H (GGA-PBEsol)

Data for a geometry-optimized BeCo2H structure.

Cell: 4.3065 4.3065 4.3065 Å, 107.09 107.09 114.34°
Closest atoms and distances in Å follow each position.
Sites, in units of the cell vectors:
1 Be 0.2500 0.7500 0.5000  8 Co 2.18-2.34, 2 H 2.33
2 Be 0.0000 0.0000 0.0000  8 Co 2.18-2.34, 2 H 2.33
3 Co 0.7990 0.8750 0.4240  2 H 1.66
4 Co 0.4510 0.3750 0.5760  2 H 1.66
5 Co 0.6250 0.2010 0.0760  2 H 1.66
6 Co 0.1250 0.5490 0.9240  2 H 1.66
7 H 0.7500 0.2500 0.5000  4 Co 1.66
8 H 0.5000 0.5000 0.0000  4 Co 1.66

Values from the calculation:
* E: -5.6301 eV/atom